Be3WO after structural relaxation, computed with GGA+U.

Values from the calculation:
Uncorrected energy in eV/cell: -12.55
Magnetic moment in μB per cell: 3.716
Energy relative to the lowest polymorph listed for this composition in meV per atom: 2131

Geometry as CIF:
```
data_Be3WO
_chemical_formula_sum 'Be3 W1 O1'
_cell_length_a 4.501
_cell_length_b 4.501
_cell_length_c 4.501
_cell_angle_alpha 90.00
_cell_angle_beta 90.00
_cell_angle_gamma 90.00
_symmetry_space_group_name_H-M 'P m -3 m'
_symmetry_Int_Tables_number 221
_symmetry_space_group_name_Hall '-P 4 2 3'
loop_
_atom_site_label
_atom_site_type_symbol
_atom_site_fract_x
_atom_site_fract_y
_atom_site_fract_z
Be1 Be 0.000 0.000 0.500
W1 W 0.000 0.000 0.000
O1 O 0.500 0.500 0.500
```